## Sr5FeO8 (GGA+U)

Data for a geometry-optimized Sr5FeO8 structure.

Properties
The calculation puts the total magnetization at 6.013 μB per cell. For the calculated total energy, the calculation gives -5.856 eV/atom.

Unit cell a=6.5945 b=6.5945 c=6.5945 alpha=112.48 beta=112.48 gamma=103.60
Sites, in units of the cell vectors:
Sr (0.0000, 0.0000, 0.0000)
Sr (0.2489, 0.1202, 0.5993)
Sr (0.3504, 0.7511, 0.8713)
Sr (0.5209, 0.6496, 0.4007)
Sr (0.8798, 0.4791, 0.1287)
Fe (0.7500, 0.2500, 0.5000)
O (0.0412, 0.3442, 0.7967)
O (0.1770, 0.3961, 0.4041)
O (0.2271, 0.8230, 0.2192)
O (0.5475, 0.2445, 0.2033)
O (0.6039, 0.0079, 0.7808)
O (0.6558, 0.4525, 0.6969)
O (0.7555, 0.9588, 0.3031)
O (0.9921, 0.7729, 0.5959)